No. 1
Density functional theory data (PBE) for a relaxed Rb3Tb3TaS8 crystal.

The structure in extended XYZ format:
```
15
Lattice="-4.860 1.206 6.114 -2.395 -4.344 -6.154 5.998 -3.978 5.552" Properties=species:S:1:pos:R:3 pbc="T T T"
S 2.025 -4.315 2.460
S -3.281 -2.800 3.052
S 0.732 -6.659 -0.863
S -0.758 -3.224 0.034
S -1.893 -6.008 2.439
S 0.636 -1.107 3.073
S -1.988 -0.456 6.375
S -0.499 -3.891 5.478
Tb -0.628 -3.558 2.756
Tb 1.802 -4.161 -0.301
Tb 0.569 -1.386 5.833
Rb -1.197 -2.172 -3.077
Rb 0.000 0.000 0.000
Rb -3.627 -1.569 -0.020
Ta 2.999 -1.989 2.776
```

The total energy comes out at -5.752 eV/atom. Its density of states at the Fermi level is 0.285 states/eV/atom. Its calculated volume is 28.3 A^3/atom. Its crystal system is trigonal. For the formation energy from raw total energies, the calculation gives -1.6407 eV per atom. As for the magnetization: 0.97 μB per formula unit.

No. 2
Density functional theory data (PBE) for a relaxed Cu2BiSe3 crystal.

The structure in extended XYZ format:
```
12
Lattice="-3.253 0.829 2.131 1.932 -5.021 4.903 6.181 8.796 2.303" Properties=species:S:1:pos:R:3 pbc="T T T"
Cu 3.725 2.191 4.833
Cu 4.129 4.425 8.290
Cu 1.136 2.413 4.505
Cu 0.732 0.179 1.047
Se 4.987 3.942 6.079
Se 2.755 3.366 2.896
Se 2.815 7.540 5.073
Se 2.045 -2.937 4.265
Se 2.106 1.238 6.442
Se -0.126 0.662 3.259
Bi 3.277 6.441 2.495
Bi 1.584 -1.837 6.842
```

The total energy comes out at -3.926 eV/atom. Its density of states at the Fermi level is 0.787 states/eV/atom. Its calculated volume is 25.1 A^3/atom. Its crystal system is monoclinic. The value obtained for the offset from the most stable computed form is 0.014 eV per atom. For the formation energy from raw total energies, the calculation gives -0.1719 eV per atom. As for the magnetization: 0.00 μB per formula unit.